# 1
First-principles (PBE-GGA) data for a relaxed Ag8Sb3Au4 crystal, as listed in Alexandria.

Results
symmetry	Fm-3m
formation energy from raw total energies	0.05	eV/atom
Fermi-level density of states	7.48	states/eV per cell
theoretical density	11.009	Mg/m³

```
data_Ag8Sb3Au4
_chemical_formula_sum 'Ag16 Sb6 Au8'
_space_group_name_H-M_alt 'P 1'
_space_group_IT_number 1
_cell_length_a 9.5101
_cell_length_b 9.5102
_cell_length_c 9.5101
_cell_angle_alpha 60.00
_cell_angle_beta 60.00
_cell_angle_gamma 60.00
loop_
_space_group_symop_operation_xyz
'x,y,z'
loop_
_atom_site_label
_atom_site_fract_x
_atom_site_fract_y
_atom_site_fract_z
Sb1 0.2818 0.7182 0.7182
Sb2 0.7182 0.7182 0.2818
Sb3 0.2818 0.2818 0.7182
Sb4 0.7182 0.2818 0.7182
Sb5 0.7182 0.2818 0.2818
Sb6 0.2818 0.7182 0.2818
Au1 0.0000 0.0000 0.0000
Au2 0.0000 0.0000 0.5000
Au3 0.0000 0.5000 0.5000
Au4 0.5000 0.5000 0.0000
Au5 0.0000 0.5000 0.0000
Au6 0.5000 0.5000 0.5000
Au7 0.5000 0.0000 0.0000
Au8 0.5000 0.0000 0.5000
Ag1 0.3322 0.3322 0.3322
Ag2 0.3322 0.3322 0.0035
Ag3 0.0035 0.3322 0.3322
Ag4 0.6678 0.9965 0.6678
Ag5 0.8799 0.3603 0.8799
Ag6 0.6678 0.6678 0.9965
Ag7 0.1201 0.1201 0.1201
Ag8 0.3322 0.0035 0.3322
Ag9 0.6678 0.6678 0.6678
Ag10 0.8799 0.8799 0.8799
Ag11 0.8799 0.8799 0.3603
Ag12 0.6397 0.1201 0.1201
Ag13 0.3603 0.8799 0.8799
Ag14 0.1201 0.6397 0.1201
Ag15 0.9965 0.6678 0.6678
Ag16 0.1201 0.1201 0.6397
```

---

# 2
First-principles (PBE-GGA) data for a relaxed Mn4ReAu crystal, as listed in Alexandria.

Results
symmetry	F-43m
Fermi-level density of states	5.74	states/eV per cell
theoretical density	13.197	Mg/m³
calculated formation energy	0.161	eV/atom

```
data_Mn4ReAu
_chemical_formula_sum 'Mn4 Re1 Au1'
_space_group_name_H-M_alt 'P 1'
_space_group_IT_number 1
_cell_length_a 4.7517
_cell_length_b 4.7517
_cell_length_c 4.7517
_cell_angle_alpha 60.00
_cell_angle_beta 60.00
_cell_angle_gamma 60.00
loop_
_space_group_symop_operation_xyz
'x,y,z'
loop_
_atom_site_label
_atom_site_fract_x
_atom_site_fract_y
_atom_site_fract_z
Mn1 0.3743 0.3743 0.8772
Mn2 0.3743 0.3743 0.3743
Mn3 0.3743 0.8772 0.3743
Mn4 0.8772 0.3743 0.3743
Au1 0.0000 0.0000 0.0000
Re1 0.7500 0.7500 0.7500
```

---

Number 1: E_tot -3.166 eV/atom. Number 2: E_tot -8.573 eV/atom.